PmSm2HoTl4 | Alexandria | PBE | optimized geometry; ΔH_f (0 K) = -0.36 eV per atom; Fermi-level density of states = 6.7 states/eV/cell; volume = 28.5 Å³ per atom; total energy = -31.1 eV per formula unit; space group = R-3m (166); total magnetization = 0.000 Bohr magnetons per cell
1.0
2.720 1.570 8.903
-2.720 1.570 8.903
0.000 -3.140 8.903
Pm Sm Ho Tl
1 2 1 4
Direct
0.000 0.000 0.000
0.249 0.249 0.249
0.751 0.751 0.751
0.500 0.500 0.500
0.126 0.126 0.126
0.376 0.376 0.376
0.624 0.624 0.624
0.874 0.874 0.874